{"formula": "Li2CaNCl", "functional": "PBE", "state": "optimized geometry", "lattice_angstrom": [[1.7800, -6.6395, 0.0000], [1.7800, 6.6395, 0.0000], [0.0000, 0.0000, 6.9656]], "species": ["Li", "Li", "Li", "Li", "Ca", "Ca", "N", "N", "Cl", "Cl"], "frac_coords": [[0.1431, 0.8569, 0.5276], [0.1431, 0.8569, 0.9724], [0.8569, 0.1431, 0.0276], [0.8569, 0.1431, 0.4724], [0.4933, 0.5067, 0.7500], [0.5067, 0.4933, 0.2500], [0.0000, 0.0000, 0.0000], [0.0000, 0.0000, 0.5000], [0.2703, 0.7297, 0.2500], [0.7297, 0.2703, 0.7500]], "polymorph_energy_ev_per_atom": 0.016, "formation_energy_uncorrected_ev_per_atom": -1.030, "magnetic_moment_mub_per_atom": 0.000, "crystal_system": "orthorhombic"}



{"formula": "Pu3InPd3", "functional": "PBE", "state": "optimized geometry", "lattice_angstrom": [[4.2986, -5.2501, 0.0000], [4.2986, 5.2501, 0.0000], [-0.0656, 0.0000, 7.1745]], "species": ["Pu", "Pu", "Pu", "Pu", "Pu", "Pu", "In", "In", "Pd", "Pd", "Pd", "Pd", "Pd", "Pd"], "frac_coords": [[0.1511, 0.8489, 0.0000], [0.2594, 0.7406, 0.5000], [0.3790, 0.3790, 0.1330], [0.6210, 0.6210, 0.8670], [0.7406, 0.2594, 0.5000], [0.8489, 0.1511, 0.0000], [0.2577, 0.2577, 0.6583], [0.7423, 0.7423, 0.3417], [0.0156, 0.5052, 0.7855], [0.0906, 0.0906, 0.3314], [0.4948, 0.9844, 0.2145], [0.5052, 0.0156, 0.7855], [0.9094, 0.9094, 0.6686], [0.9844, 0.4948, 0.2145]], "polymorph_energy_ev_per_atom": 0.053, "magnetic_moment_mub_per_atom": 0.731, "crystal_system": "monoclinic", "delta_e_f_ev_per_fu": -2.14}